The following is a DFT calculation (PBE-GGA) of HoGaPd2 after structural relaxation.

Output
Crystal system ... orthorhombic
Space-group type ... Pnma, No. 62

The structure in POSCAR format:
```
HoGaPd2
1.0
7.296 0.000 0.000
0.000 7.186 0.000
0.000 0.000 5.612
Ho Ga Pd
4 4 8
Direct
0.028 0.250 0.144
0.472 0.750 0.644
0.528 0.250 0.356
0.972 0.750 0.856
0.115 0.750 0.359
0.385 0.250 0.859
0.615 0.750 0.141
0.885 0.250 0.641
0.185 0.051 0.588
0.185 0.449 0.588
0.315 0.551 0.088
0.315 0.949 0.088
0.685 0.051 0.912
0.685 0.449 0.912
0.815 0.551 0.412
0.815 0.949 0.412
```

=====

The following is a DFT calculation (PBE-GGA) of Ho6Ga2Pd after structural relaxation.

Output
Crystal system ... orthorhombic
Space-group type ... Immm, No. 71

The structure in POSCAR format:
```
Ho6Ga2Pd
1.0
-2.441 3.491 7.367
2.441 -3.491 7.367
2.441 3.491 -7.367
Ho Ga Pd
6 2 1
Direct
0.082 0.337 0.746
0.244 0.000 0.244
0.409 0.663 0.746
0.591 0.337 0.254
0.756 0.000 0.756
0.918 0.663 0.254
0.332 0.832 0.500
0.668 0.168 0.500
0.000 0.500 0.500
```

=====

The following is a DFT calculation (PBE-GGA) of HoGa5Pd2 after structural relaxation.

Output
Crystal system ... orthorhombic
Space-group type ... Immm, No. 71

The structure in POSCAR format:
```
HoGa5Pd2
1.0
-1.966 3.721 4.930
1.966 -3.721 4.930
1.966 3.721 -4.930
Ho Ga Pd
1 5 2
Direct
0.000 0.000 0.000
0.167 0.359 0.808
0.450 0.641 0.808
0.500 0.000 0.500
0.550 0.359 0.192
0.833 0.641 0.192
0.245 0.745 0.500
0.755 0.255 0.500
```

=====

Sequential N(E_F) output: 8.792, 7.850, 3.517 states/eV per cell
Sequential E output: -5.391, -4.636, -4.289 eV per atom
Sequential energy relative to the elements output: -3.573, -3.009, -4.215 eV per formula unit